# 1
Here is a PBEsol-optimized structure of Ga2GeSb2 from Alexandria. Energies are from SCAN.

Magnetization ... 0.0 μB/f.u.

Cell lengths 8.5183, 8.5183, 8.5183 Å; angles 154.84, 154.84, 35.88 degrees
Last column: nearest neighbours and their distance in Å.
Positions (direct):
Ga  0.2500  0.7500  0.5000  4 Ga 2.62
Ga  0.7500  0.2500  0.5000  4 Ga 2.62
Ge  0.0000  0.0000  0.0000  8 Sb 3.06
Sb  0.4030  0.4030  0.0000  4 Ge 3.06, 4 Ga 3.10, 1 Sb 3.15
Sb  0.5970  0.5970  0.0000  4 Ge 3.06, 4 Ga 3.10, 1 Sb 3.15



# 2
Here is a PBEsol-optimized structure of GaGe2Sb from Alexandria. Energies are from SCAN.

Magnetization ... 0.0 μB/f.u.

Cell lengths 7.2475, 7.2475, 7.2475 Å; angles 131.98, 131.98, 70.26 degrees
Last column: nearest neighbours and their distance in Å.
Positions (direct):
Ga  0.0000  0.0000  0.0000  4 Ge 2.46
Ga  0.7500  0.2500  0.5000  4 Ge 2.46
Ge  0.0948  0.6250  0.9698  2 Ga 2.46, 2 Sb 2.66
Ge  0.3750  0.3448  0.4698  2 Ga 2.46, 2 Sb 2.66
Ge  0.6552  0.1250  0.0302  2 Ga 2.46, 2 Sb 2.66
Ge  0.8750  0.9052  0.5302  2 Ga 2.46, 2 Sb 2.66
Sb  0.2500  0.7500  0.5000  4 Ge 2.66
Sb  0.5000  0.5000  0.0000  4 Ge 2.66



Which energy relative to the elements, uncorrected belongs to each record? In order, 0.227 0.018 eV per atom.
Which DOS(E_F) belongs to each record? In order, 2.6 0.2 states/eV per cell.